Record 1
This record from Alexandria via LeMat-Bulk describes a geometry-optimized CoBrCl4 structure. The functional is PBE.

The structure belongs to space group F-43m (No. 216); the cell edges are 8.167, 8.167 and 8.167 Å and the angles 90.00°, 90.00° and 90.00°. The distinct sites, in fractional coordinates, are Co at (0.000, 0.000, 0.000), Br at (0.250, 0.250, 0.750) and Cl at (0.125, 0.125, 0.375).

For the energy relative to the elements, uncorrected, the calculation gives 0.9514 eV per atom.


Record 2
This record from Alexandria via LeMat-Bulk describes a geometry-optimized HgIr2Au structure. The functional is PBE.

The structure belongs to space group I4/mmm (No. 139); the cell edges are 4.089, 4.089 and 8.048 Å and the angles 90.00°, 90.00° and 90.00°. The distinct sites, in fractional coordinates, are Hg at (0.000, 0.000, 0.000), Ir at (0.000, 0.500, 0.250) and Au at (0.000, 0.000, 0.500).

The calculation puts the energy of formation from the pure elements at 0.602 eV/atom.


Record 3
This record from Alexandria via LeMat-Bulk describes a geometry-optimized GeBr2Cl structure. The functional is PBE.

The structure belongs to space group R-3m (No. 166, hexagonal axes); the cell edges are 4.0333, 4.0333 and 26.2727 Å and the angles 90.00°, 90.00° and 120.00°. The distinct sites, in fractional coordinates, are Ge at (0.0000, 0.0000, 0.0000), Br at (0.0000, 0.0000, 0.3969) and Cl at (0.0000, 0.0000, 0.5000).

For the energy relative to the elements, uncorrected, the calculation gives -0.1333 eV per atom.


Record 4
This record from Alexandria via LeMat-Bulk describes a geometry-optimized AlSiICl2 structure. The functional is PBE.

The structure belongs to space group P4/mmm (No. 123); the cell edges are 6.285, 6.285 and 5.069 Å and the angles 90.00°, 90.00° and 90.00°. The distinct sites, in fractional coordinates, are Al at (0.000, 0.000, 0.000), Si at (0.500, 0.500, 0.000), I at (0.500, 0.500, 0.500) and Cl at (0.000, 0.500, 0.500).

For the energy relative to the elements, uncorrected, the calculation gives 0.6774 eV per atom.


no.,spin magnetization (μB/f.u.)
1,2.32
2,0.01
3,0.00
4,0.00